{"formula": "RbBeZn3", "functional": "PBE", "state": "relaxed", "cell": [[4.7414, 0.0000, 0.0000], [0.0000, 4.7414, 0.0000], [0.0000, 0.0000, 4.7414]], "species": ["Rb", "Be", "Zn", "Zn", "Zn"], "frac_coords": [[0.0000, 0.0000, 0.0000], [0.5000, 0.5000, 0.5000], [0.0000, 0.5000, 0.5000], [0.5000, 0.0000, 0.5000], [0.5000, 0.5000, 0.0000]], "sg": "No. 221", "ef_ev_per_atom": 0.282, "dos_at_fermi_per_ev_cell": 1.669, "final_energy_ev_per_atom": -1.421}